# 1
# PBE-GGA NbAlTl2Tc, relaxed
data_NbAlTl2Tc
_chemical_formula_sum 'Nb1 Al1 Tl2 Tc1'
_space_group_name_H-M_alt 'P 4/m m m'
_space_group_IT_number 123
_space_group_name_Hall '-P 4 2'
_cell_length_a 5.600
_cell_length_b 5.600
_cell_length_c 4.651
_cell_angle_alpha 90.00
_cell_angle_beta 90.00
_cell_angle_gamma 90.00
loop_
_atom_site_label
_atom_site_type_symbol
_atom_site_fract_x
_atom_site_fract_y
_atom_site_fract_z
Nb1 Nb 0.000 0.000 0.000
Al1 Al 0.500 0.500 0.500
Tl1 Tl 0.000 0.500 0.000
Tc1 Tc 0.000 0.000 0.500
# mass density: 7.14 g/cm³
# M_tot: 1.24 μB per cell
# formation energy: 1183 meV/atom



# 2
# PBE-GGA Sm2Ho3In4, relaxed
data_Sm2Ho3In4
_chemical_formula_sum 'Sm8 Ho12 In16'
_space_group_name_H-M_alt 'C m c e'
_space_group_IT_number 64
_space_group_name_Hall '-C 2ac 2'
_cell_length_a 7.046
_cell_length_b 16.561
_cell_length_c 9.094
_cell_angle_alpha 90.00
_cell_angle_beta 90.00
_cell_angle_gamma 90.00
loop_
_atom_site_label
_atom_site_type_symbol
_atom_site_fract_x
_atom_site_fract_y
_atom_site_fract_z
Sm1 Sm 0.000 0.109 0.077
Ho1 Ho 0.000 0.000 0.500
Ho2 Ho 0.250 0.217 0.750
In1 In 0.000 0.184 0.460
In2 In 0.250 0.033 0.750
# mass density: 7.85 g/cm³
# M_tot: 0.00 μB per cell
# formation energy: -285 meV/atom
# distance to the lowest polymorph of the same formula: 0.120 eV per atom



Which value of mass density does entry 2 give?
7.85 g/cm³